Record 1
Material: ErSi2Pt7Pb2
Method: DFT, GGA-PBE
State: optimized geometry

Lattice parameters (Å, degrees): 5.651 5.654 15.406 90.00 100.37 90.00
Space group C2/m (No. 12)
Inequivalent atoms, fractional coordinates:
1 Er 0.000 0.000 0.000 [2 per cell]
2 Si 0.114 0.500 0.232 [4 per cell]
3 Pt 0.000 0.500 0.000 [2 per cell]
4 Pt 0.179 0.250 0.856 [8 per cell]
5 Pt 0.192 0.500 0.385 [4 per cell]
6 Pb 0.208 0.000 0.418 [4 per cell]

* E_form (uncorrected): -0.644 eV per atom
* mass density: 13.7 g cm⁻³
* total moment: 0.00 μB per cell
* uncorrected energy: -6.07 eV per atom

***

Record 2
Material: Er6Te3Pt2Pb
Method: DFT, GGA-PBE
State: optimized geometry

Lattice parameters (Å, degrees): 19.000 4.158 8.808 90.00 107.01 90.00
Space group C2/m (No. 12)
Inequivalent atoms, fractional coordinates:
1 Er 0.012 0.000 0.259 [4 per cell]
2 Er 0.171 0.500 0.121 [4 per cell]
3 Er 0.177 0.500 0.565 [4 per cell]
4 Te 0.000 0.500 0.500 [2 per cell]
5 Te 0.161 0.000 0.839 [4 per cell]
6 Pt 0.169 0.000 0.340 [4 per cell]
7 Pb 0.000 0.500 0.000 [2 per cell]

* E_form (uncorrected): -1.119 eV per atom
* mass density: 9.9 g cm⁻³
* total moment: 0.00 μB per cell
* uncorrected energy: -5.50 eV per atom